A plane-wave DFT calculation with PBE was carried out for a geometry-optimized Pm2ThSi3Pt4 structure.

Values from the calculation:
N(E_F) ... 7.65 states/eV/f.u.
Total moment ... 0.0 μB per cell
Crystal system ... tetragonal
Energy ... -6.737 eV per atom

Cell: 4.315 4.315 11.010 Å, 90.00 90.00 90.00°
Atoms (fractional coordinates):
Pm 0.000 0.500 0.219
Pm 0.500 0.000 0.781
Th 0.000 0.000 0.500
Si 0.000 0.500 0.886
Si 0.500 0.000 0.114
Si 0.500 0.500 0.500
Pt 0.000 0.000 0.000
Pt 0.000 0.500 0.670
Pt 0.500 0.000 0.330
Pt 0.500 0.500 0.000


A plane-wave DFT calculation with PBE was carried out for a geometry-optimized PmThSiPt structure.

Values from the calculation:
N(E_F) ... 4.57 states/eV/f.u.
Total moment ... 0.0 μB per cell
Crystal system ... cubic
Energy ... -6.581 eV per atom

Cell: 5.128 5.128 5.128 Å, 60.00 60.00 60.00°
Atoms (fractional coordinates):
Pm 0.000 0.000 0.000
Th 0.500 0.500 0.500
Si 0.750 0.750 0.750
Pt 0.250 0.250 0.250


A plane-wave DFT calculation with PBE was carried out for a geometry-optimized Pm2TiSi4Pt3 structure.

Values from the calculation:
N(E_F) ... 3.79 states/eV/f.u.
Total moment ... 0.0 μB per cell
Crystal system ... tetragonal
Energy ... -6.768 eV per atom

Cell: 4.189 4.189 10.349 Å, 90.00 90.00 90.00°
Atoms (fractional coordinates):
Pm 0.000 0.500 0.242
Pm 0.500 0.000 0.758
Ti 0.000 0.000 0.500
Si 0.000 0.000 0.000
Si 0.000 0.500 0.642
Si 0.500 0.000 0.358
Si 0.500 0.500 0.000
Pt 0.000 0.500 0.881
Pt 0.500 0.000 0.119
Pt 0.500 0.500 0.500


A plane-wave DFT calculation with PBE was carried out for a geometry-optimized Pm2TiSi3Pt4 structure.

Values from the calculation:
N(E_F) ... 7.43 states/eV/f.u.
Total moment ... 0.0 μB per cell
Crystal system ... tetragonal
Energy ... -6.869 eV per atom

Cell: 4.267 4.267 10.073 Å, 90.00 90.00 90.00°
Atoms (fractional coordinates):
Pm 0.000 0.500 0.247
Pm 0.500 0.000 0.753
Ti 0.000 0.000 0.500
Si 0.000 0.500 0.872
Si 0.500 0.000 0.128
Si 0.500 0.500 0.500
Pt 0.000 0.000 0.000
Pt 0.000 0.500 0.636
Pt 0.500 0.000 0.364
Pt 0.500 0.500 0.000


A plane-wave DFT calculation with PBE was carried out for a geometry-optimized PmTm2Si2Pt7 structure.

Values from the calculation:
N(E_F) ... 4.53 states/eV/f.u.
Total moment ... 0.0 μB per cell
Crystal system ... monoclinic
Energy ... -6.639 eV per atom

Cell: 4.045 4.045 13.825 Å, 96.53 96.53 89.37°
Atoms (fractional coordinates):
Pm 0.000 0.000 0.000
Tm 0.123 0.123 0.359
Tm 0.877 0.877 0.641
Si 0.397 0.397 0.738
Si 0.603 0.603 0.262
Pt 0.067 0.566 0.168
Pt 0.359 0.359 0.569
Pt 0.434 0.933 0.832
Pt 0.500 0.500 0.000
Pt 0.566 0.067 0.168
Pt 0.641 0.641 0.431
Pt 0.933 0.434 0.832


A plane-wave DFT calculation with PBE was carried out for a geometry-optimized Pm2TmSi3Pt4 structure.

Values from the calculation:
N(E_F) ... 6.89 states/eV/f.u.
Total moment ... 0.0 μB per cell
Crystal system ... tetragonal
Energy ... -6.519 eV per atom

Cell: 4.262 4.262 10.750 Å, 90.00 90.00 90.00°
Atoms (fractional coordinates):
Pm 0.000 0.500 0.228
Pm 0.500 0.000 0.772
Tm 0.000 0.000 0.500
Si 0.000 0.500 0.880
Si 0.500 0.000 0.120
Si 0.500 0.500 0.500
Pt 0.000 0.000 0.000
Pt 0.000 0.500 0.657
Pt 0.500 0.000 0.343
Pt 0.500 0.500 0.000


A plane-wave DFT calculation with PBE was carried out for a geometry-optimized Pm2TmSi4Pt3 structure.

Values from the calculation:
N(E_F) ... 4.32 states/eV/f.u.
Total moment ... 0.0 μB per cell
Crystal system ... tetragonal
Energy ... -6.389 eV per atom

Cell: 4.235 4.235 10.812 Å, 90.00 90.00 90.00°
Atoms (fractional coordinates):
Pm 0.000 0.500 0.232
Pm 0.500 0.000 0.768
Tm 0.000 0.000 0.500
Si 0.000 0.000 0.000
Si 0.000 0.500 0.664
Si 0.500 0.000 0.336
Si 0.500 0.500 0.000
Pt 0.000 0.500 0.889
Pt 0.500 0.000 0.111
Pt 0.500 0.500 0.500


A plane-wave DFT calculation with PBE was carried out for a geometry-optimized Pm2USi3Pt4 structure.

Values from the calculation:
N(E_F) ... 11.69 states/eV/f.u.
Total moment ... 2.3 μB per cell
Crystal system ... tetragonal
Energy ... -7.041 eV per atom

Cell: 4.263 4.263 10.848 Å, 90.00 90.00 90.00°
Atoms (fractional coordinates):
Pm 0.000 0.500 0.228
Pm 0.500 0.000 0.772
U 0.000 0.000 0.500
Si 0.000 0.500 0.882
Si 0.500 0.000 0.118
Si 0.500 0.500 0.500
Pt 0.000 0.000 0.000
Pt 0.000 0.500 0.662
Pt 0.500 0.000 0.338
Pt 0.500 0.500 0.000